Material: K4Al5
Method: DFT, PBE
State: optimized geometry

Results
**E_tot**: -2.005 eV/atom
**DFT formation energy**: 562 meV/atom
**Crystal system**: hexagonal
**V**: 525 Å³ per cell
**Relative energy among the computed polymorphs**: 0.339 eV/atom

abc: 9.699 9.699 6.446
angles: 90.00 90.00 120.00
Positions (direct):
K: 0.000 0.000 0.000
K: 0.000 0.000 0.500
K: 0.000 0.308 0.250
K: 0.000 0.692 0.750
K: 0.308 0.000 0.250
K: 0.308 0.308 0.750
K: 0.692 0.000 0.750
K: 0.692 0.692 0.250
Al: 0.000 0.383 0.750
Al: 0.000 0.617 0.250
Al: 0.333 0.667 0.000
Al: 0.333 0.667 0.500
Al: 0.383 0.000 0.750
Al: 0.383 0.383 0.250
Al: 0.617 0.000 0.250
Al: 0.617 0.617 0.750
Al: 0.667 0.333 0.000
Al: 0.667 0.333 0.500